No. 1
Below is a relaxed BaMg3Pt crystal, with properties calculated at the GGA-PBEsol level.

Formation energy ... -2.01 eV/f.u.
V ... 134.8 Å³/f.u.
Spin magnetization ... 0.00 μB per formula unit

Lattice parameters (Å, degrees): 5.1269 5.1269 5.1269 90.00 90.00 90.00
With the nearest neighbours (Å) after each atom.
Fractional coordinates of all 5 atoms:
Mg (0.0000, 0.5000, 0.0000)  2 Pt 2.56
Mg (0.5000, 0.0000, 0.0000)  2 Pt 2.56
Pt (0.0000, 0.0000, 0.0000)  6 Mg 2.56
Ba (0.5000, 0.5000, 0.5000)  12 Mg 3.63
Mg (0.0000, 0.0000, 0.5000)  2 Pt 2.56

No. 2
Below is a relaxed Ba2MgPt crystal, with properties calculated at the GGA-PBEsol level.

Formation energy ... -1.77 eV/f.u.
V ... 152.1 Å³/f.u.
Spin magnetization ... 0.00 μB per formula unit

Lattice parameters (Å, degrees): 4.6066 4.6066 8.6954 74.64 74.64 60.00
With the nearest neighbours (Å) after each atom.
Fractional coordinates of all 4 atoms:
Mg (0.5419, 0.5419, 0.3743)  3 Pt 2.66
Pt (0.2079, 0.2079, 0.3764)  3 Mg 2.66
Ba (0.9622, 0.9622, 0.1134)  3 Mg 3.43, 3 Pt 3.44
Ba (0.7880, 0.7880, 0.6359)  3 Pt 3.42, 3 Mg 3.43

No. 3
Below is a relaxed BaMgPt crystal, with properties calculated at the GGA-PBEsol level.

Formation energy ... -1.57 eV/f.u.
V ... 83.3 Å³/f.u.
Spin magnetization ... 0.00 μB per formula unit

Lattice parameters (Å, degrees): 4.5546 4.5546 4.6384 90.00 90.00 120.00
With the nearest neighbours (Å) after each atom.
Fractional coordinates of all 3 atoms:
Ba (0.0000, 0.0000, 0.0000)  6 Mg 3.51, 6 Pt 3.51
Pt (0.6667, 0.3333, 0.5000)  3 Mg 2.63
Mg (0.3333, 0.6667, 0.5000)  3 Pt 2.63

No. 4
Below is a relaxed BaMgSi2Pt crystal, with properties calculated at the GGA-PBEsol level.

V ... 133.3 Å³/f.u.
Formation energy without anion corrections ... 902 meV per atom
Spin magnetization ... 0.00 μB per formula unit

Lattice parameters (Å, degrees): 4.7746 4.7746 5.8466 90.00 90.00 90.00
With the nearest neighbours (Å) after each atom.
Fractional coordinates of all 5 atoms:
Mg (0.0000, 0.0000, 0.0000)  4 Si 2.39
Ba (0.0000, 0.0000, 0.5000)  2 Mg 2.92
Pt (0.5000, 0.5000, 0.5000)  4 Ba 3.38, 8 Si 3.77
Si (0.5000, 0.0000, 0.0000)  2 Mg 2.39
Si (0.0000, 0.5000, 0.0000)  2 Mg 2.39

No. 5
Below is a relaxed Ba2MgZrPt crystal, with properties calculated at the GGA-PBEsol level.

Formation energy ... 5.52 eV/f.u.
V ... 188.8 Å³/f.u.
Spin magnetization ... 0.00 μB per formula unit

Lattice parameters (Å, degrees): 5.2130 6.0187 6.0187 90.00 90.00 90.00
With the nearest neighbours (Å) after each atom.
Fractional coordinates of all 5 atoms:
Pt (0.5000, 0.5000, 0.5000)  8 Ba 3.98, 4 Zr 4.26
Mg (0.0000, 0.0000, 0.0000)  2 Zr 2.61
Ba (0.0000, 0.0000, 0.5000)  2 Mg 3.01
Ba (0.0000, 0.5000, 0.0000)  2 Mg 3.01
Zr (0.5000, 0.0000, 0.0000)  2 Mg 2.61

No. 6
Below is a relaxed Rb2BaMgW crystal, with properties calculated at the GGA-PBEsol level.

Formation energy ... 7.28 eV/f.u.
V ... 237.9 Å³/f.u.
Spin magnetization ... 3.91 μB per formula unit

Lattice parameters (Å, degrees): 5.5791 6.5303 6.5303 90.00 90.00 90.00
With the nearest neighbours (Å) after each atom.
Fractional coordinates of all 5 atoms:
Rb (0.0000, 0.0000, 0.5000)  2 Mg 3.27
W (0.5000, 0.0000, 0.0000)  2 Mg 2.79
Rb (0.0000, 0.5000, 0.0000)  2 Mg 3.27
Mg (0.0000, 0.0000, 0.0000)  2 W 2.79
Ba (0.5000, 0.5000, 0.5000)  8 Rb 4.29, 4 W 4.62

No. 7
Below is a relaxed Ba3MgRe crystal, with properties calculated at the GGA-PBEsol level.

Formation energy ... 8.03 eV/f.u.
V ... 250.8 Å³/f.u.
Spin magnetization ... 3.08 μB per formula unit

Lattice parameters (Å, degrees): 6.3065 6.3065 6.3065 90.00 90.00 90.00
With the nearest neighbours (Å) after each atom.
Fractional coordinates of all 5 atoms:
Re (0.5000, 0.5000, 0.5000)  12 Ba 4.46
Ba (0.0000, 0.0000, 0.5000)  2 Mg 3.15
Mg (0.0000, 0.0000, 0.0000)  6 Ba 3.15
Ba (0.5000, 0.0000, 0.0000)  2 Mg 3.15
Ba (0.0000, 0.5000, 0.0000)  2 Mg 3.15

No. 8
Below is a relaxed BaMgRe2 crystal, with properties calculated at the GGA-PBEsol level.

Formation energy ... 5.09 eV/f.u.
V ... 77.9 Å³/f.u.
Spin magnetization ... 0.00 μB per formula unit

Lattice parameters (Å, degrees): 2.8215 5.4667 5.8733 114.75 98.62 101.20
With the nearest neighbours (Å) after each atom.
Fractional coordinates of all 4 atoms:
Re (0.0000, 0.0000, 0.5000)  4 Re 2.82, 2 Ba 3.06, 2 Mg 3.06
Re (0.5000, 0.5000, 0.5000)  4 Re 2.82, 2 Mg 3.06, 2 Ba 3.06
Mg (0.5000, 0.0000, 0.0000)  2 Mg 2.82, 2 Ba 2.82, 4 Re 3.06
Ba (0.0000, 0.5000, 0.0000)  2 Ba 2.82, 2 Mg 2.82, 4 Re 3.06

No. 9
Below is a relaxed BaMg2Re crystal, with properties calculated at the GGA-PBEsol level.

Formation energy ... 3.78 eV/f.u.
V ... 92.1 Å³/f.u.
Spin magnetization ... 0.00 μB per formula unit

Lattice parameters (Å, degrees): 3.0010 5.5294 5.5521 90.00 90.00 90.00
With the nearest neighbours (Å) after each atom.
Fractional coordinates of all 4 atoms:
Re (0.5000, 0.0000, 0.5000)  2 Re 3.00, 4 Ba 3.15, 4 Mg 3.16
Ba (0.0000, 0.5000, 0.5000)  2 Ba 3.00, 4 Re 3.15, 4 Mg 3.16
Mg (0.5000, 0.5000, 0.0000)  6 Mg 3.00-3.15, 4 Ba 3.16
Mg (0.0000, 0.0000, 0.0000)  6 Mg 3.00-3.15, 4 Re 3.16

No. 10
Below is a relaxed BaMgRe2 crystal, with properties calculated at the GGA-PBEsol level.

Formation energy ... 3.20 eV/f.u.
V ... 104.9 Å³/f.u.
Spin magnetization ... 0.00 μB per formula unit

Lattice parameters (Å, degrees): 3.7965 5.1746 6.0729 107.73 90.00 111.52
With the nearest neighbours (Å) after each atom.
Fractional coordinates of all 4 atoms:
Mg (0.5000, 0.0000, 0.0000)  6 Re 2.77-2.91
Re (0.7571, 0.5142, 0.8897)  2 Re 2.35
Re (0.2429, 0.4858, 0.1103)  2 Re 2.35
Ba (0.0000, 0.0000, 0.5000)  6 Re 3.39-3.68, 4 Mg 3.58, 2 Ba 3.80

No. 11
Below is a relaxed BaMgRe2 crystal, with properties calculated at the GGA-PBEsol level.

Formation energy ... 3.37 eV/f.u.
V ... 104.0 Å³/f.u.
Spin magnetization ... 0.01 μB per formula unit

Lattice parameters (Å, degrees): 3.6855 4.7732 6.6378 111.07 106.12 90.00
With the nearest neighbours (Å) after each atom.
Fractional coordinates of all 4 atoms:
Mg (0.2244, 0.7244, 0.4488)  6 Re 2.85-3.02
Re (0.7136, 0.2136, 0.4272)  2 Re 2.33
Re (0.0926, 0.0926, 0.1851)  2 Re 2.33
Ba (0.4694, 0.4694, 0.9389)  8 Re 3.35-3.75, 2 Mg 3.53, 2 Ba 3.69

No. 12
Below is a relaxed Ba2MgRh crystal, with properties calculated at the GGA-PBEsol level.

Formation energy ... -0.56 eV/f.u.
V ... 151.7 Å³/f.u.
Spin magnetization ... 0.00 μB per formula unit

Lattice parameters (Å, degrees): 4.5702 4.5702 8.7928 74.94 74.94 60.00
With the nearest neighbours (Å) after each atom.
Fractional coordinates of all 4 atoms:
Mg (0.5418, 0.5418, 0.3747)  3 Rh 2.64
Ba (0.9599, 0.9599, 0.1203)  3 Mg 3.39, 3 Rh 3.40
Ba (0.7903, 0.7903, 0.6291)  3 Rh 3.39, 3 Mg 3.39
Rh (0.2080, 0.2080, 0.3760)  3 Mg 2.64

No. 13
Below is a relaxed BaMg2Rh crystal, with properties calculated at the GGA-PBEsol level.

Formation energy ... 0.75 eV/f.u.
V ... 97.1 Å³/f.u.
Spin magnetization ... 0.00 μB per formula unit

Lattice parameters (Å, degrees): 4.2545 4.3254 5.2776 90.00 90.00 90.00
With the nearest neighbours (Å) after each atom.
Fractional coordinates of all 4 atoms:
Mg (0.0000, 0.0000, 0.0000)  4 Mg 3.03, 4 Rh 3.39
Ba (0.0000, 0.5000, 0.5000)  4 Rh 3.03, 4 Mg 3.39
Rh (0.5000, 0.0000, 0.5000)  4 Ba 3.03, 4 Mg 3.39
Mg (0.5000, 0.5000, 0.0000)  4 Mg 3.03, 4 Ba 3.39

No. 14
Below is a relaxed Ba2MgRh crystal, with properties calculated at the GGA-PBEsol level.

Formation energy ... 0.57 eV/f.u.
V ... 108.4 Å³/f.u.
Spin magnetization ... 0.00 μB per formula unit

Lattice parameters (Å, degrees): 5.3620 5.3458 5.3620 120.10 90.00 120.10
With the nearest neighbours (Å) after each atom.
Fractional coordinates of all 4 atoms:
Ba (0.7500, 0.5000, 0.2500)  4 Ba 3.28, 4 Mg 3.28
Ba (0.0000, 0.0000, 0.0000)  4 Ba 3.28, 4 Rh 3.28
Mg (0.5000, 0.0000, 0.5000)  4 Ba 3.28, 4 Rh 3.28
Rh (0.2500, 0.5000, 0.7500)  4 Mg 3.28, 4 Ba 3.28

No. 15
Below is a relaxed BaMg2Rh crystal, with properties calculated at the GGA-PBEsol level.

Formation energy ... -0.66 eV/f.u.
V ... 108.2 Å³/f.u.
Spin magnetization ... 0.00 μB per formula unit

Lattice parameters (Å, degrees): 4.6592 4.6553 6.3583 68.45 68.51 59.97
With the nearest neighbours (Å) after each atom.
Fractional coordinates of all 4 atoms:
Mg (0.2299, 0.2293, 0.3109)  3 Rh 2.69, 3 Mg 2.83
Rh (0.5692, 0.5683, 0.2932)  6 Mg 2.69-2.80
Ba (0.7532, 0.7544, 0.7393)  1 Rh 3.19, 1 Mg 3.36
Mg (0.9477, 0.9480, 0.1566)  3 Rh 2.80, 3 Mg 2.83